4
Lattice="-0.139 0.946 -2.511 1.702 -1.913 -0.815 -5.203 -4.095 -1.254" Properties=species:S:1:pos:R:3 comment="LiBe GGA-PBE optimized geometry" sg="P4/nmm (129)" n_ef_per_ev_fu=0.44 ef_ev_per_atom=0.13 de_polymorph_kj_per_mol_fu=0.0 pbc="T T T"
Li -3.447 -4.339 -1.444
Li -0.975 -0.239 -1.474
Be -1.392 -2.722 -0.948
Be -3.030 -1.857 -1.969